(1)
A plane-wave DFT calculation with PBE-GGA was carried out for a geometry-optimized PrNdZr structure.

Cell lengths 3.4927, 3.4927, 8.7224 Å; angles 90.00, 90.00, 120.00 degrees
With the nearest neighbours (Å) after each atom.
Fractional positions:
Pr 0.0000 0.0000 0.0000  3 Zr 3.38, 6 Pr 3.49
Nd 0.3333 0.6667 0.6196  3 Zr 3.36, 6 Nd 3.49
Zr 0.6667 0.3333 0.3114  3 Nd 3.36, 3 Pr 3.38, 6 Zr 3.49

Values from the calculation:
Its space group is P3m1 (156). The calculation puts the energy above the most stable polymorph in this dataset at 19 meV per atom. Its formation energy is 0.150 eV/atom.



(2)
A plane-wave DFT calculation with PBE-GGA was carried out for a geometry-optimized Pr2NdZr structure.

Cell lengths 4.1187, 4.1187, 7.5047 Å; angles 90.00, 90.00, 90.00 degrees
With the nearest neighbours (Å) after each atom.
Fractional positions:
Pr 0.0000 0.0000 0.2204  1 Pr 3.31, 4 Zr 3.35, 4 Nd 3.59
Pr 0.0000 0.0000 0.7796  1 Pr 3.31, 4 Zr 3.35, 4 Nd 3.59
Nd 0.5000 0.5000 0.5000  8 Pr 3.59, 2 Zr 3.75
Zr 0.5000 0.5000 0.0000  8 Pr 3.35

Values from the calculation:
Its space group is P4/mmm (123). The calculation puts the energy above the most stable polymorph in this dataset at 48 meV per atom. Its formation energy is 0.183 eV/atom.



(3)
A plane-wave DFT calculation with PBE-GGA was carried out for a geometry-optimized NdPt5 structure.

Cell lengths 5.1948, 5.1948, 4.9374 Å; angles 99.57, 99.57, 121.21 degrees
With the nearest neighbours (Å) after each atom.
Fractional positions:
Nd 0.0000 0.0000 0.0000  12 Pt 2.89-3.05
Pt 0.1880 0.8120 0.5000  9 Pt 2.79-3.07, 2 Nd 3.00
Pt 0.3368 0.6632 0.0000  9 Pt 2.81-2.99, 3 Nd 2.95-3.05
Pt 0.5000 0.5000 0.5000  10 Pt 2.82-3.07, 2 Nd 2.89
Pt 0.6632 0.3368 0.0000  9 Pt 2.81-2.99, 3 Nd 2.95-3.05
Pt 0.8120 0.1880 0.5000  9 Pt 2.79-3.07, 2 Nd 3.00

Values from the calculation:
Its space group is C2/m (12). The calculation puts the energy above the most stable polymorph in this dataset at 237 meV per atom. Its formation energy is -0.481 eV/atom.



(4)
A plane-wave DFT calculation with PBE-GGA was carried out for a geometry-optimized Nd3Pt2 structure.

Cell lengths 9.4421, 9.4421, 10.9859 Å; angles 97.65, 97.65, 26.99 degrees
With the nearest neighbours (Å) after each atom.
Fractional positions:
Nd 0.0000 0.0000 0.0000  4 Pt 3.01
Nd 0.0364 0.0364 0.6592  3 Pt 2.87-3.00
Nd 0.2918 0.2918 0.3853  4 Pt 2.96-3.18
Nd 0.3279 0.3279 0.0462  4 Pt 2.86-2.94
Nd 0.3739 0.3739 0.7218  5 Pt 2.87-3.00
Nd 0.6261 0.6261 0.2782  5 Pt 2.87-3.00
Nd 0.6721 0.6721 0.9538  4 Pt 2.86-2.94
Nd 0.7082 0.7082 0.6147  4 Pt 2.96-3.18
Nd 0.9636 0.9636 0.3408  3 Pt 2.87-3.00
Pt 0.1359 0.1359 0.4641  7 Nd 2.96-3.27
Pt 0.1839 0.1839 0.1331  6 Nd 2.93-3.18
Pt 0.4737 0.4737 0.1760  6 Nd 2.86-3.01
Pt 0.5263 0.5263 0.8240  6 Nd 2.86-3.01
Pt 0.8161 0.8161 0.8669  6 Nd 2.93-3.18
Pt 0.8641 0.8641 0.5359  7 Nd 2.96-3.27

Values from the calculation:
Its space group is C2/m (12). The calculation puts the energy above the most stable polymorph in this dataset at 48 meV per atom. Its formation energy is -0.896 eV/atom.



(5)
A plane-wave DFT calculation with PBE-GGA was carried out for a geometry-optimized NdPt3 structure.

Cell lengths 5.2183, 5.2183, 5.2183 Å; angles 132.65, 132.65, 69.21 degrees
With the nearest neighbours (Å) after each atom.
Fractional positions:
Nd 0.0000 0.0000 0.0000  12 Pt 2.96-3.00
Pt 0.2500 0.7500 0.5000  8 Pt 2.96-3.00, 4 Nd 3.00
Pt 0.5000 0.5000 0.0000  4 Nd 2.96, 8 Pt 3.00
Pt 0.7500 0.2500 0.5000  8 Pt 2.96-3.00, 4 Nd 3.00

Values from the calculation:
Its space group is I4/mmm (139). Its formation energy is -0.714 eV/atom.



(6)
A plane-wave DFT calculation with PBE-GGA was carried out for a geometry-optimized NdPt structure.

Cell lengths 7.3440, 4.6207, 5.7446 Å; angles 90.00, 90.00, 90.00 degrees
With the nearest neighbours (Å) after each atom.
Fractional positions:
Nd 0.1822 0.2500 0.1398  7 Pt 2.97-3.14
Nd 0.3178 0.7500 0.6398  7 Pt 2.97-3.14
Nd 0.6822 0.2500 0.3602  7 Pt 2.97-3.14
Nd 0.8178 0.7500 0.8602  7 Pt 2.97-3.14
Pt 0.0438 0.2500 0.6535  7 Nd 2.97-3.14, 2 Pt 2.98
Pt 0.4562 0.7500 0.1535  7 Nd 2.97-3.14, 2 Pt 2.98
Pt 0.5438 0.2500 0.8465  7 Nd 2.97-3.14, 2 Pt 2.98
Pt 0.9562 0.7500 0.3465  7 Nd 2.97-3.14, 2 Pt 2.98

Values from the calculation:
Its space group is Pnma (62). Its formation energy is -1.157 eV/atom.



(7)
A plane-wave DFT calculation with PBE-GGA was carried out for a geometry-optimized NdPt5 structure.

Cell lengths 6.5986, 6.5986, 4.0774 Å; angles 90.00, 90.00, 143.31 degrees
With the nearest neighbours (Å) after each atom.
Fractional positions:
Nd 0.0000 0.0000 0.0000  12 Pt 2.91-3.00
Pt 0.1758 0.8242 0.5000  10 Pt 2.79-3.03, 2 Nd 3.00
Pt 0.3320 0.6680 0.0000  10 Pt 2.83-2.93, 2 Nd 2.96
Pt 0.5000 0.5000 0.5000  4 Nd 2.91, 8 Pt 2.93-3.03
Pt 0.6680 0.3320 0.0000  10 Pt 2.83-2.93, 2 Nd 2.96
Pt 0.8242 0.1758 0.5000  10 Pt 2.79-3.03, 2 Nd 3.00

Values from the calculation:
Its space group is Cmmm (65). The calculation puts the energy above the most stable polymorph in this dataset at 200 meV per atom. Its formation energy is -0.518 eV/atom.



(8)
A plane-wave DFT calculation with PBE-GGA was carried out for a geometry-optimized NdPt5 structure.

Cell lengths 5.4298, 5.4298, 4.4265 Å; angles 90.00, 90.00, 120.00 degrees
With the nearest neighbours (Å) after each atom.
Fractional positions:
Nd 0.0000 0.0000 0.0000  18 Pt 3.13-3.50
Pt 0.0000 0.5000 0.5000  8 Pt 2.71
Pt 0.3333 0.6667 0.0000  6 Pt 2.71
Pt 0.5000 0.0000 0.5000  8 Pt 2.71
Pt 0.5000 0.5000 0.5000  8 Pt 2.71
Pt 0.6667 0.3333 0.0000  6 Pt 2.71

Values from the calculation:
Its space group is P6/mmm (191). The calculation puts the energy above the most stable polymorph in this dataset at 0 meV per atom. Its formation energy is -0.718 eV/atom.